[1]
Density functional theory data (PBE) for crystalline Ca2MgBi3 at its relaxed geometry. Values from VASP.

Quantum ESPRESSO input file:
```
&SYSTEM
  ibrav = 0, nat = 12, ntyp = 3
/
ATOMIC_SPECIES
Ca 40.08 Ca.upf
Mg 24.30 Mg.upf
Bi 208.98 Bi.upf
CELL_PARAMETERS angstrom
8.386 -3.310 0.000
8.386 3.310 0.000
-1.346 0.000 6.546
ATOMIC_POSITIONS angstrom
Ca 2.665 0.736 0.616
Ca 1.992 -0.736 3.889
Ca 13.435 0.736 2.657
Ca 12.762 -0.736 5.930
Mg 7.377 0.150 4.910
Mg 8.050 -0.150 1.637
Bi 8.050 3.153 1.637
Bi 5.131 0.618 2.805
Bi 4.458 -0.618 6.078
Bi 10.969 0.618 0.468
Bi 10.296 -0.618 3.742
Bi 7.377 -3.153 4.910
```

## Properties
energy of formation = -505 meV per atom
polymorph energy (0 for the lowest one) = 49 meV/atom



[2]
Density functional theory data (PBE) for crystalline Ac2AlCuGe at its relaxed geometry. Values from VASP.

Quantum ESPRESSO input file:
```
&SYSTEM
  ibrav = 0, nat = 10, ntyp = 4
/
ATOMIC_SPECIES
Ac 227.00 Ac.upf
Al 26.98 Al.upf
Cu 63.55 Cu.upf
Ge 72.64 Ge.upf
CELL_PARAMETERS angstrom
4.456 0.000 0.000
0.000 4.456 0.000
0.000 0.000 14.773
ATOMIC_POSITIONS angstrom
Ac 1.114 1.114 1.577
Ac 1.114 1.114 9.948
Ac 3.342 3.342 4.825
Ac 3.342 3.342 13.196
Al 1.114 3.342 7.387
Al 3.342 1.114 7.387
Cu 1.114 1.114 6.081
Cu 3.342 3.342 8.692
Ge 1.114 1.114 13.061
Ge 3.342 3.342 1.712
```

## Properties
energy of formation = -412 meV per atom



[3]
Density functional theory data (PBE) for crystalline Cs3Pu4Br12 at its relaxed geometry. Values from VASP.

Quantum ESPRESSO input file:
```
&SYSTEM
  ibrav = 0, nat = 19, ntyp = 3
/
ATOMIC_SPECIES
Cs 132.91 Cs.upf
Pu 244.00 Pu.upf
Br 79.90 Br.upf
CELL_PARAMETERS angstrom
-5.863 5.863 5.863
5.863 -5.863 5.863
5.863 5.863 -5.863
ATOMIC_POSITIONS angstrom
Cs 5.863 0.000 0.000
Cs 0.000 5.863 0.000
Cs 0.000 0.000 5.863
Pu 2.932 2.932 -2.932
Pu 2.932 -2.932 2.932
Pu -2.932 2.932 2.932
Pu 2.932 2.932 2.932
Br 5.863 3.124 -2.594
Br 3.269 0.000 2.739
Br 8.458 0.000 2.739
Br 2.739 3.269 0.000
Br 3.124 -2.594 5.863
Br 5.863 3.124 2.594
Br 0.000 2.739 3.269
Br 2.739 8.458 0.000
Br 3.124 2.594 5.863
Br -2.594 5.863 3.124
Br 2.594 5.863 3.124
Br 0.000 2.739 8.458
```

## Properties
raw formation energy = -1.5963 eV per atom



[4]
Density functional theory data (PBE) for crystalline LiIn6Cu at its relaxed geometry. Values from VASP.

Quantum ESPRESSO input file:
```
&SYSTEM
  ibrav = 0, nat = 8, ntyp = 3
/
ATOMIC_SPECIES
Li 6.94 Li.upf
In 114.82 In.upf
Cu 63.55 Cu.upf
CELL_PARAMETERS angstrom
3.879 -6.702 0.000
3.879 6.702 0.000
-2.784 0.000 3.736
ATOMIC_POSITIONS angstrom
Li 0.000 0.000 0.000
In 1.244 2.396 0.941
In -0.135 0.000 2.813
In 1.244 -2.396 0.941
In 3.730 2.396 2.796
In 5.109 0.000 0.923
In 3.730 -2.396 2.796
Cu 2.487 0.000 1.868
```

## Properties
energy of formation = -5 meV per atom



[5]
Density functional theory data (PBE) for crystalline Ce2ThAu at its relaxed geometry. Values from VASP.

Quantum ESPRESSO input file:
```
&SYSTEM
  ibrav = 0, nat = 4, ntyp = 3
/
ATOMIC_SPECIES
Ce 140.12 Ce.upf
Th 232.04 Th.upf
Au 196.97 Au.upf
CELL_PARAMETERS angstrom
4.404 0.000 0.000
0.000 4.404 0.000
0.000 0.000 5.399
ATOMIC_POSITIONS angstrom
Ce 0.000 2.202 0.000
Ce 2.202 0.000 0.000
Th 0.000 0.000 2.700
Au 2.202 2.202 2.700
```

## Properties
energy of formation = -175 meV per atom
polymorph energy (0 for the lowest one) = 122 meV/atom



[6]
Density functional theory data (PBE) for crystalline Ta3Nb2W4 at its relaxed geometry. Values from VASP.

Quantum ESPRESSO input file:
```
&SYSTEM
  ibrav = 0, nat = 9, ntyp = 3
/
ATOMIC_SPECIES
Ta 180.95 Ta.upf
Nb 92.91 Nb.upf
W 183.84 W.upf
CELL_PARAMETERS angstrom
6.897 -1.614 0.000
6.897 1.614 0.000
-2.303 0.000 6.936
ATOMIC_POSITIONS angstrom
Ta 0.000 0.000 0.000
Ta -0.018 0.000 4.591
Ta 11.509 0.000 2.344
Nb 2.277 0.000 6.903
Nb 9.214 0.000 0.032
W 2.260 0.000 2.356
W 4.564 0.000 4.612
W 6.928 0.000 2.324
W 9.231 0.000 4.580
```

## Properties
energy of formation = -83 meV per atom



| no. | density of states at the Fermi level (states/eV per atom) | calculated volume (Å³/atom) |
| --- | --- | --- |
| 1 | 0.33 | 30.28 |
| 2 | 0.68 | 29.33 |
| 3 | 3.52 | 42.43 |
| 4 | 0.28 | 24.28 |
| 5 | 2.74 | 26.18 |
| 6 | 0.76 | 17.16 |